1.
{"formula": "LiMnSi", "functional": "meta-GGA SCAN", "state": "single point on PBEsol structure", "space_group": "No. 216", "magnetic_moment_mub_per_cell": 4.0, "e_form_raw_ev_per_atom": 0.150, "cell": [[0.000, 2.760, 2.760], [2.760, 0.000, 2.760], [2.760, 2.760, 0.000]], "species": ["Li", "Mn", "Si"], "fractional_positions": [[0.000, 0.000, 0.000], [0.250, 0.250, 0.250], [0.750, 0.750, 0.750]]}


2.
{"formula": "Na6Sn2O7", "functional": "meta-GGA SCAN", "state": "single point on PBEsol structure", "space_group": "No. 15", "magnetic_moment_mub_per_cell": 0.0, "e_form_raw_ev_per_atom": -1.677, "cell": [[4.356, -4.406, 0.000], [4.356, 4.406, 0.000], [-3.534, 0.000, 11.641]], "species": ["Na", "Na", "Na", "Na", "Na", "Na", "Na", "Na", "Na", "Na", "Na", "Na", "Sn", "Sn", "Sn", "Sn", "O", "O", "O", "O", "O", "O", "O", "O", "O", "O", "O", "O", "O", "O"], "fractional_positions": [[0.000, 0.000, 0.000], [0.000, 0.000, 0.500], [0.032, 0.492, 0.873], [0.042, 0.958, 0.750], [0.292, 0.573, 0.408], [0.427, 0.708, 0.092], [0.492, 0.032, 0.373], [0.508, 0.968, 0.627], [0.573, 0.292, 0.908], [0.708, 0.427, 0.592], [0.958, 0.042, 0.250], [0.968, 0.508, 0.127], [0.234, 0.442, 0.631], [0.442, 0.234, 0.131], [0.558, 0.766, 0.869], [0.766, 0.558, 0.369], [0.016, 0.289, 0.687], [0.181, 0.734, 0.596], [0.239, 0.350, 0.013], [0.266, 0.819, 0.904], [0.289, 0.016, 0.187], [0.350, 0.239, 0.513], [0.480, 0.520, 0.250], [0.520, 0.480, 0.750], [0.650, 0.761, 0.487], [0.711, 0.984, 0.813], [0.734, 0.181, 0.096], [0.761, 0.650, 0.987], [0.819, 0.266, 0.404], [0.984, 0.711, 0.313]]}


3.
{"formula": "Mg2MoRu", "functional": "meta-GGA SCAN", "state": "single point on PBEsol structure", "space_group": "No. 6", "relative_energy_mev_per_atom": 170, "delta_e_f_ev_per_atom": 0.136, "magnetic_moment_mub_per_cell": 0.0, "cell": [[2.825, 0.000, 0.000], [0.000, 4.305, 0.000], [-1.041, 0.000, 5.380]], "species": ["Mg", "Mg", "Mo", "Ru"], "fractional_positions": [[0.000, 0.000, 0.000], [0.292, 0.500, 0.733], [0.703, 0.500, 0.271], [0.560, 0.000, 0.467]]}


4.
{"formula": "LiBe2Ni", "functional": "meta-GGA SCAN", "state": "single point on PBEsol structure", "space_group": "No. 123", "delta_e_f_ev_per_atom": -0.124, "magnetic_moment_mub_per_cell": 0.0, "cell": [[3.786, 0.000, 0.000], [0.000, 3.786, 0.000], [0.000, 0.000, 2.539]], "species": ["Li", "Be", "Be", "Ni"], "fractional_positions": [[0.000, 0.000, 0.000], [0.000, 0.500, 0.500], [0.500, 0.000, 0.500], [0.500, 0.500, 0.000]]}